(1)
{"formula": "Sm3MgSn3", "functional": "GGA-PBE", "state": "relaxed", "n_ef_per_ev_cell": 7.487, "formation_enthalpy_0k_ev_per_atom": -0.42, "cell": [[9.365, 0.000, 0.000], [-4.682, 8.110, 0.000], [0.000, 0.000, 6.270]], "species": ["Sm", "Sm", "Sm", "Sm", "Sm", "Sm", "Mg", "Mg", "Sn", "Sn", "Sn", "Sn", "Sn", "Sn"], "fractional_positions": [[0.045, 0.357, 0.250], [0.312, 0.955, 0.250], [0.357, 0.312, 0.750], [0.643, 0.688, 0.250], [0.688, 0.045, 0.750], [0.955, 0.643, 0.750], [0.333, 0.667, 0.750], [0.667, 0.333, 0.250], [0.038, 0.350, 0.750], [0.313, 0.962, 0.750], [0.350, 0.313, 0.250], [0.650, 0.687, 0.750], [0.687, 0.038, 0.250], [0.962, 0.650, 0.250]]}

(2)
{"formula": "Sm4MgSn15", "functional": "GGA-PBE", "state": "relaxed", "n_ef_per_ev_cell": 8.724, "formation_enthalpy_0k_ev_per_atom": -0.38, "cell": [[4.673, 0.000, 0.000], [0.000, 4.673, 0.000], [0.000, 0.000, 24.427]], "species": ["Sm", "Sm", "Sm", "Sm", "Mg", "Sn", "Sn", "Sn", "Sn", "Sn", "Sn", "Sn", "Sn", "Sn", "Sn", "Sn", "Sn", "Sn", "Sn", "Sn"], "fractional_positions": [[0.000, 0.000, 0.101], [0.000, 0.000, 0.296], [0.000, 0.000, 0.704], [0.000, 0.000, 0.899], [0.000, 0.000, 0.500], [0.000, 0.500, 0.000], [0.000, 0.500, 0.200], [0.000, 0.500, 0.403], [0.000, 0.500, 0.597], [0.000, 0.500, 0.800], [0.500, 0.000, 0.000], [0.500, 0.000, 0.200], [0.500, 0.000, 0.403], [0.500, 0.000, 0.597], [0.500, 0.000, 0.800], [0.500, 0.500, 0.100], [0.500, 0.500, 0.304], [0.500, 0.500, 0.500], [0.500, 0.500, 0.696], [0.500, 0.500, 0.900]]}

(3)
{"formula": "SrSmMgSn", "functional": "GGA-PBE", "state": "relaxed", "n_ef_per_ev_cell": 11.677, "formation_enthalpy_0k_ev_per_atom": -0.35, "cell": [[7.850, 0.000, 0.000], [0.000, 7.850, 0.000], [0.000, 0.000, 7.850]], "species": ["Sr", "Sr", "Sr", "Sr", "Sm", "Sm", "Sm", "Sm", "Mg", "Mg", "Mg", "Mg", "Sn", "Sn", "Sn", "Sn"], "fractional_positions": [[0.000, 0.000, 0.000], [0.000, 0.500, 0.500], [0.500, 0.000, 0.500], [0.500, 0.500, 0.000], [0.000, 0.000, 0.500], [0.000, 0.500, 0.000], [0.500, 0.000, 0.000], [0.500, 0.500, 0.500], [0.250, 0.250, 0.250], [0.250, 0.750, 0.750], [0.750, 0.250, 0.750], [0.750, 0.750, 0.250], [0.250, 0.250, 0.750], [0.250, 0.750, 0.250], [0.750, 0.250, 0.250], [0.750, 0.750, 0.750]]}

(4)
{"formula": "SmMgTlSn", "functional": "GGA-PBE", "state": "relaxed", "relative_energy_ev_per_fu": 0.00, "n_ef_per_ev_cell": 1.647, "formation_enthalpy_0k_ev_per_atom": -0.43, "cell": [[4.460, 0.000, 0.000], [0.000, 4.719, 0.000], [0.000, 0.000, 4.925]], "species": ["Sm", "Mg", "Tl", "Sn"], "fractional_positions": [[0.000, 0.000, 0.000], [0.000, 0.500, 0.500], [0.500, 0.000, 0.500], [0.500, 0.500, 0.000]]}